Crystalline Pm4ErTm10 at its relaxed geometry, computed with GGA-PBE.

```
data_Pm4ErTm10
_cell_length_a 7.8790
_cell_length_b 8.8191
_cell_length_c 8.8191
_cell_angle_alpha 78.49
_cell_angle_beta 63.47
_cell_angle_gamma 63.47
_symmetry_space_group_name_H-M 'P 1'
_symmetry_Int_Tables_number 1
loop_
_symmetry_equiv_pos_as_xyz
'x,y,z'
loop_
_atom_site_label
_atom_site_type_symbol
_atom_site_fract_x
_atom_site_fract_y
_atom_site_fract_z
Tm1 Tm 0.9143 0.7919 0.7917
Tm2 Tm 0.5021 0.7919 0.7917
Tm3 Tm 0.0857 0.2081 0.2083
Tm4 Tm 0.7500 0.5000 0.5000
Tm5 Tm 0.2500 0.5000 0.5000
Tm6 Tm 0.2938 0.2083 0.7919
Tm7 Tm 0.2940 0.7917 0.2081
Tm8 Tm 0.4979 0.2081 0.2083
Tm9 Tm 0.7060 0.2083 0.7919
Tm10 Tm 0.7062 0.7917 0.2081
Pm1 Pm 0.7724 0.9995 0.4557
Pm2 Pm 0.7719 0.4557 0.0005
Pm3 Pm 0.2281 0.5443 0.9995
Pm4 Pm 0.2276 0.0005 0.5443
Er1 Er 0.0000 0.0000 0.0000
```

The value obtained for the raw total energy is -4.274 eV/atom. For the formation energy, the calculation gives 278.0 meV/atom. Its volume is 32.7 A^3/atom.

Crystalline Pm4Er3Tm at its relaxed geometry, computed with GGA-PBE.

```
data_Pm4Er3Tm
_cell_length_a 5.6395
_cell_length_b 3.6329
_cell_length_c 13.1959
_cell_angle_alpha 89.98
_cell_angle_beta 102.34
_cell_angle_gamma 90.00
_symmetry_space_group_name_H-M 'P 1'
_symmetry_Int_Tables_number 1
loop_
_symmetry_equiv_pos_as_xyz
'x,y,z'
loop_
_atom_site_label
_atom_site_type_symbol
_atom_site_fract_x
_atom_site_fract_y
_atom_site_fract_z
Er1 Er 0.0000 0.5000 0.0000
Er2 Er 0.8497 0.0000 0.6994
Er3 Er 0.1503 0.0000 0.3006
Pm1 Pm 0.2774 0.4992 0.5548
Pm2 Pm 0.6019 0.4996 0.2037
Pm3 Pm 0.7226 0.5008 0.4452
Pm4 Pm 0.3981 0.5004 0.7962
Tm1 Tm 0.5000 0.0000 0.0000
```

The value obtained for the raw total energy is -4.458 eV/atom. For the formation energy, the calculation gives 187.6 meV/atom. Its volume is 33.0 A^3/atom.

Question: Look up the raw total energy of the first one.
Answer: -4.274 eV/atom